1.
First-principles (PBE) data for an optimized crystal structure of PuZn2Ag, as listed in the Alexandria database.

Calculated values
- Total DFT energy (no corrections): -19.20 eV per cell
- ρ: 9442 kg/m3
- Magnetization: 6.04 Bohr magnetons per cell
- SG: P4/mmm (123)

Cell lengths 4.368, 4.368, 4.448 Å; angles 90.00, 90.00, 90.00 degrees
Fractional coordinates of all 4 atoms:
Pu: 0.000 0.000 0.000
Zn: 0.000 0.500 0.500
Zn: 0.500 0.000 0.500
Ag: 0.500 0.500 0.000

=====

2.
First-principles (PBE) data for an optimized crystal structure of PuZn2Ag2, as listed in the Alexandria database.

Calculated values
- Total DFT energy (no corrections): -45.64 eV per cell
- ρ: 10445 kg/m3
- Magnetization: 12.26 Bohr magnetons per cell
- SG: P4/mbm (127)

Cell lengths 8.082, 8.082, 2.875 Å; angles 90.00, 90.00, 90.00 degrees
Fractional coordinates of all 10 atoms:
Pu: 0.000 0.000 0.000
Pu: 0.500 0.500 0.000
Zn: 0.119 0.381 0.000
Zn: 0.381 0.881 0.000
Zn: 0.619 0.119 0.000
Zn: 0.881 0.619 0.000
Ag: 0.175 0.675 0.500
Ag: 0.325 0.175 0.500
Ag: 0.675 0.825 0.500
Ag: 0.825 0.325 0.500

=====

3.
First-principles (PBE) data for an optimized crystal structure of PuZn2Ag9, as listed in the Alexandria database.

Calculated values
- Total DFT energy (no corrections): -84.63 eV per cell
- ρ: 9708 kg/m3
- Magnetization: 11.99 Bohr magnetons per cell
- SG: I4_1/amd (141)

Cell lengths 8.756, 8.756, 8.756 Å; angles 99.85, 99.85, 131.12 degrees
Fractional coordinates of all 24 atoms:
Pu: 0.375 0.625 0.750
Pu: 0.625 0.375 0.250
Zn: 0.000 0.000 0.000
Zn: 0.000 0.000 0.500
Zn: 0.000 0.500 0.000
Zn: 0.500 0.000 0.500
Ag: 0.125 0.875 0.250
Ag: 0.132 0.559 0.330
Ag: 0.132 0.803 0.573
Ag: 0.197 0.270 0.330
Ag: 0.197 0.868 0.927
Ag: 0.270 0.197 0.830
Ag: 0.270 0.441 0.073
Ag: 0.441 0.270 0.573
Ag: 0.441 0.868 0.170
Ag: 0.559 0.132 0.830
Ag: 0.559 0.730 0.427
Ag: 0.730 0.559 0.927
Ag: 0.730 0.803 0.170
Ag: 0.803 0.132 0.073
Ag: 0.803 0.730 0.670
Ag: 0.868 0.197 0.427
Ag: 0.868 0.441 0.670
Ag: 0.875 0.125 0.750